<1>
## Cr3OsW (PBE)

Data for a relaxed Cr3OsW crystal.

Unit cell a=4.5474 b=4.5474 c=4.5474 alpha=90.00 beta=90.00 gamma=90.00
Atoms (fractional coordinates):
Cr 0.0000 0.0000 0.5000
Cr 0.0000 0.5000 0.0000
Cr 0.5000 0.0000 0.0000
Os 0.0000 0.0000 0.0000
W 0.5000 0.5000 0.5000

Properties
Total magnetization ... 4.77 μB per formula unit
Space group ... No. 221

***

<2>
## Cr3OsW (PBE)

Data for a relaxed Cr3OsW crystal.

Unit cell a=4.3952 b=4.3952 c=4.3952 alpha=90.00 beta=90.00 gamma=90.00
Atoms (fractional coordinates):
Cr 0.0000 0.0000 0.5000
Cr 0.0000 0.5000 0.0000
Cr 0.5000 0.0000 0.0000
Os 0.5000 0.5000 0.5000
W 0.0000 0.0000 0.0000

Properties
Total magnetization ... 1.24 μB per formula unit
Space group ... No. 221

***

Most stable structure, least stable structure: <1>, <2>.

***

<1>
## CrOs3W (PBE)

Data for a relaxed CrOs3W crystal.

Unit cell a=4.3845 b=4.3845 c=4.3845 alpha=90.00 beta=90.00 gamma=90.00
Atoms (fractional coordinates):
Cr 0.0000 0.0000 0.0000
Os 0.0000 0.0000 0.5000
Os 0.0000 0.5000 0.0000
Os 0.5000 0.0000 0.0000
W 0.5000 0.5000 0.5000

Properties
Total magnetization ... 0.01 μB per formula unit
Space group ... No. 221

***

<2>
## CrOs3W (PBE)

Data for a relaxed CrOs3W crystal.

Unit cell a=4.6780 b=4.6780 c=4.6780 alpha=90.00 beta=90.00 gamma=90.00
Atoms (fractional coordinates):
Cr 0.0000 0.0000 0.0000
Os 0.0000 0.5000 0.5000
Os 0.5000 0.0000 0.5000
Os 0.5000 0.5000 0.0000
W 0.5000 0.5000 0.5000

Properties
Total magnetization ... 0.11 μB per formula unit
Space group ... No. 221

***

Most stable structure, least stable structure: <1>, <2>.

***

<1>
## YCrOs3 (PBE)

Data for a relaxed YCrOs3 crystal.

Unit cell a=4.7805 b=4.7805 c=4.7805 alpha=90.00 beta=90.00 gamma=90.00
Atoms (fractional coordinates):
Y 0.0000 0.0000 0.0000
Cr 0.5000 0.5000 0.5000
Os 0.0000 0.0000 0.5000
Os 0.0000 0.5000 0.0000
Os 0.5000 0.0000 0.0000

Properties
Total magnetization ... 0.16 μB per formula unit
Space group ... No. 221

***

<2>
## YCrOs3 (PBE)

Data for a relaxed YCrOs3 crystal.

Unit cell a=4.5174 b=4.5174 c=4.5174 alpha=90.00 beta=90.00 gamma=90.00
Atoms (fractional coordinates):
Y 0.0000 0.0000 0.0000
Cr 0.5000 0.5000 0.5000
Os 0.0000 0.5000 0.5000
Os 0.5000 0.0000 0.5000
Os 0.5000 0.5000 0.0000

Properties
Total magnetization ... 0.00 μB per formula unit
Space group ... No. 221

***

Most stable structure, least stable structure: <2>, <1>.

***

<1>
## YCr2Os (PBE)

Data for a relaxed YCr2Os crystal.

Unit cell a=5.2621 b=5.2621 c=5.2621 alpha=145.56 beta=127.86 gamma=63.99
Atoms (fractional coordinates):
Y 0.0000 0.0000 0.0000
Cr 0.2699 0.7699 0.5000
Cr 0.7301 0.2301 0.5000
Os 0.5000 0.5000 0.0000

Properties
Total magnetization ... 0.01 μB per formula unit
Space group ... No. 71

***

<2>
## YCr2Os (PBE)

Data for a relaxed YCr2Os crystal.

Unit cell a=3.2631 b=4.4709 c=4.6353 alpha=90.00 beta=90.00 gamma=90.00
Atoms (fractional coordinates):
Y 0.0000 0.0000 0.0000
Cr 0.0000 0.5000 0.5000
Cr 0.5000 0.0000 0.5000
Os 0.5000 0.5000 0.0000

Properties
Total magnetization ... 0.47 μB per formula unit
Space group ... No. 47

***

<3>
## YCr2Os (PBE)

Data for a relaxed YCr2Os crystal.

Unit cell a=8.9193 b=8.9193 c=8.9193 alpha=18.70 beta=18.70 gamma=18.70
Atoms (fractional coordinates):
Y 0.0000 0.0000 0.0000
Cr 0.2351 0.2351 0.2351
Cr 0.5072 0.5072 0.5072
Os 0.7657 0.7657 0.7657

Properties
Total magnetization ... 0.00 μB per formula unit
Space group ... No. 160

***

<4>
## YCr2Os (PBE)

Data for a relaxed YCr2Os crystal.

Unit cell a=5.9114 b=5.9114 c=5.9114 alpha=103.53 beta=103.53 gamma=122.15
Atoms (fractional coordinates):
Y 0.0000 0.0000 0.0000
Y 0.7500 0.2500 0.5000
Cr 0.1901 0.6250 0.0651
Cr 0.3750 0.4401 0.5651
Cr 0.5599 0.1250 0.9349
Cr 0.8750 0.8099 0.4349
Os 0.2500 0.7500 0.5000
Os 0.5000 0.5000 0.0000

Properties
Total magnetization ... 4.01 μB per formula unit
Space group ... No. 122

***

Most stable structure, least stable structure: <2>, <4>.

***

<1>
## YCr2Os2 (PBE)

Data for a relaxed YCr2Os2 crystal.

Unit cell a=7.4659 b=7.4659 c=2.7831 alpha=90.00 beta=90.00 gamma=90.00
Atoms (fractional coordinates):
Y 0.0000 0.0000 0.0000
Y 0.5000 0.5000 0.0000
Cr 0.1495 0.3505 0.0000
Cr 0.3505 0.8505 0.0000
Cr 0.6495 0.1495 0.0000
Cr 0.8505 0.6495 0.0000
Os 0.1402 0.6402 0.5000
Os 0.3598 0.1402 0.5000
Os 0.6402 0.8598 0.5000
Os 0.8598 0.3598 0.5000

Properties
Total magnetization ... 0.40 μB per formula unit
Space group ... No. 127

***

<2>
## YCr2Os2 (PBE)

Data for a relaxed YCr2Os2 crystal.

Unit cell a=5.8549 b=5.8549 c=5.8549 alpha=138.68 beta=138.68 gamma=59.86
Atoms (fractional coordinates):
Y 0.0000 0.0000 0.0000
Cr 0.2500 0.7500 0.5000
Cr 0.7500 0.2500 0.5000
Os 0.3738 0.3738 0.0000
Os 0.6262 0.6262 0.0000

Properties
Total magnetization ... 0.62 μB per formula unit
Space group ... No. 139

***

Most stable structure, least stable structure: <2>, <1>.

***

<1>
## Zn2CrOs (PBE)

Data for a relaxed Zn2CrOs crystal.

Unit cell a=4.9866 b=4.9866 c=4.9866 alpha=143.71 beta=130.32 gamma=63.06
Atoms (fractional coordinates):
Zn 0.2488 0.2488 0.0000
Zn 0.7512 0.7512 0.0000
Cr 0.0000 0.5000 0.5000
Os 0.5000 0.0000 0.5000

Properties
Total magnetization ... 2.23 μB per formula unit
Space group ... No. 71

***

<2>
## Zn2CrOs (PBE)

Data for a relaxed Zn2CrOs crystal.

Unit cell a=2.6104 b=2.6104 c=8.7279 alpha=90.00 beta=90.00 gamma=112.38
Atoms (fractional coordinates):
Zn 0.0000 0.0000 0.2428
Zn 0.0000 0.0000 0.7572
Cr 0.5000 0.5000 0.0000
Os 0.5000 0.5000 0.5000

Properties
Total magnetization ... 0.73 μB per formula unit
Space group ... No. 65

***

<3>
## Zn2CrOs (PBE)

Data for a relaxed Zn2CrOs crystal.

Unit cell a=8.8871 b=8.8871 c=8.8871 alpha=17.43 beta=17.43 gamma=17.43
Atoms (fractional coordinates):
Zn 0.2485 0.2485 0.2485
Zn 0.7515 0.7515 0.7515
Cr 0.5000 0.5000 0.5000
Os 0.0000 0.0000 0.0000

Properties
Total magnetization ... 0.64 μB per formula unit
Space group ... No. 166

***

Most stable structure, least stable structure: <1>, <2>.

***

<1>
## Zn2CrOs (PBE)

Data for a relaxed Zn2CrOs crystal.

Unit cell a=3.1793 b=3.1793 c=5.6195 alpha=90.00 beta=90.00 gamma=90.00
Atoms (fractional coordinates):
Zn 0.0000 0.0000 0.2449
Zn 0.0000 0.0000 0.7551
Cr 0.5000 0.5000 0.5000
Os 0.5000 0.5000 0.0000

Properties
Total magnetization ... 3.58 μB per formula unit
Space group ... No. 123

***

<2>
## Zn2CrOs (PBE)

Data for a relaxed Zn2CrOs crystal.

Unit cell a=4.5213 b=4.5213 c=4.6549 alpha=99.37 beta=99.37 gamma=36.08
Atoms (fractional coordinates):
Zn 0.0000 0.0000 0.0000
Zn 0.2453 0.2453 0.7898
Cr 0.4927 0.4927 0.4881
Os 0.7519 0.7519 0.3035

Properties
Total magnetization ... 1.23 μB per formula unit
Space group ... No. 8

***

<3>
## Zn2CrOs (PBE)

Data for a relaxed Zn2CrOs crystal.

Unit cell a=4.2302 b=4.2302 c=4.2302 alpha=119.96 beta=119.96 gamma=90.07
Atoms (fractional coordinates):
Zn 0.0000 0.0000 0.0000
Zn 0.7500 0.2500 0.5000
Cr 0.2500 0.7500 0.5000
Os 0.5000 0.5000 0.0000

Properties
Total magnetization ... 0.00 μB per formula unit
Space group ... No. 119

***

<4>
## Zn2CrOs (PBE)

Data for a relaxed Zn2CrOs crystal.

Unit cell a=3.6813 b=3.6813 c=4.0890 alpha=90.00 beta=90.00 gamma=90.00
Atoms (fractional coordinates):
Zn 0.0000 0.5000 0.0000
Zn 0.5000 0.0000 0.0000
Cr 0.0000 0.0000 0.5000
Os 0.5000 0.5000 0.5000

Properties
Total magnetization ... 2.27 μB per formula unit
Space group ... No. 123

***

Most stable structure, least stable structure: <3>, <1>.

***

<1>
## Zn2CrOs (PBE)

Data for a relaxed Zn2CrOs crystal.

Unit cell a=2.5960 b=4.3495 c=4.9344 alpha=90.00 beta=100.41 gamma=90.00
Atoms (fractional coordinates):
Zn 0.2431 0.0000 0.2455
Zn 0.7569 0.0000 0.7545
Cr 0.5000 0.5000 0.0000
Os 0.0000 0.5000 0.5000

Properties
Total magnetization ... 1.25 μB per formula unit
Space group ... No. 10

***

<2>
## Zn2CrOs (PBE)

Data for a relaxed Zn2CrOs crystal.

Unit cell a=2.6479 b=2.6479 c=8.8158 alpha=90.00 beta=90.00 gamma=115.36
Atoms (fractional coordinates):
Zn 0.0000 0.0000 0.0000
Zn 0.5000 0.5000 0.2594
Cr 0.0000 0.0000 0.5057
Os 0.5000 0.5000 0.7359

Properties
Total magnetization ... 0.00 μB per formula unit
Space group ... No. 35

***

<3>
## Zn2CrOs (PBE)

Data for a relaxed Zn2CrOs crystal.

Unit cell a=5.4524 b=5.4524 c=5.4524 alpha=102.12 beta=102.12 gamma=125.45
Atoms (fractional coordinates):
Zn 0.1193 0.1250 0.4943
Zn 0.3750 0.8807 0.0057
Zn 0.6307 0.6250 0.5057
Zn 0.8750 0.3693 0.9943
Cr 0.0000 0.0000 0.0000
Cr 0.7500 0.2500 0.5000
Os 0.2500 0.7500 0.5000
Os 0.5000 0.5000 0.0000

Properties
Total magnetization ... 0.00 μB per formula unit
Space group ... No. 122

***

<4>
## Zn2CrOs (PBE)

Data for a relaxed Zn2CrOs crystal.

Unit cell a=2.6022 b=2.6022 c=8.0932 alpha=90.00 beta=90.00 gamma=90.00
Atoms (fractional coordinates):
Zn 0.0000 0.0000 0.2442
Zn 0.0000 0.0000 0.7558
Cr 0.5000 0.5000 0.0000
Os 0.5000 0.5000 0.5000

Properties
Total magnetization ... 0.00 μB per formula unit
Space group ... No. 123

***

Most stable structure, least stable structure: <2>, <3>.

***

<1>
## Zn2CrOs (PBE)

Data for a relaxed Zn2CrOs crystal.

Unit cell a=9.0771 b=9.0771 c=9.0771 alpha=17.07 beta=17.07 gamma=17.07
Atoms (fractional coordinates):
Zn 0.0000 0.0000 0.0000
Zn 0.2413 0.2413 0.2413
Cr 0.7475 0.7475 0.7475
Os 0.4879 0.4879 0.4879

Properties
Total magnetization ... 0.00 μB per formula unit
Space group ... No. 160

***

<2>
## Zn2CrOs (PBE)

Data for a relaxed Zn2CrOs crystal.

Unit cell a=5.0493 b=5.0493 c=2.5986 alpha=99.84 beta=99.84 gamma=118.97
Atoms (fractional coordinates):
Zn 0.0000 0.5000 0.0000
Zn 0.5000 0.0000 0.0000
Cr 0.0000 0.0000 0.5000
Os 0.5000 0.5000 0.5000

Properties
Total magnetization ... 0.76 μB per formula unit
Space group ... No. 12

***

Most stable structure, least stable structure: <1>, <2>.

***

<1>
## ZnCr3Os (PBE)

Data for a relaxed ZnCr3Os crystal.

Unit cell a=4.4267 b=4.4267 c=4.4267 alpha=90.00 beta=90.00 gamma=90.00
Atoms (fractional coordinates):
Zn 0.0000 0.0000 0.0000
Cr 0.0000 0.0000 0.5000
Cr 0.0000 0.5000 0.0000
Cr 0.5000 0.0000 0.0000
Os 0.5000 0.5000 0.5000

Properties
Total magnetization ... 8.63 μB per formula unit
Space group ... No. 221

***

<2>
## ZnCr3Os (PBE)

Data for a relaxed ZnCr3Os crystal.

Unit cell a=4.6881 b=4.6881 c=4.6881 alpha=90.00 beta=90.00 gamma=90.00
Atoms (fractional coordinates):
Zn 0.0000 0.0000 0.0000
Cr 0.0000 0.5000 0.5000
Cr 0.5000 0.0000 0.5000
Cr 0.5000 0.5000 0.0000
Os 0.5000 0.5000 0.5000

Properties
Total magnetization ... 8.80 μB per formula unit
Space group ... No. 221

***

Most stable structure, least stable structure: <2>, <1>.

***

<1>
## Zr2CrOs2 (PBE)

Data for a relaxed Zr2CrOs2 crystal.

Unit cell a=7.7859 b=7.7859 c=3.1095 alpha=90.00 beta=90.00 gamma=90.00
Atoms (fractional coordinates):
Zr 0.1473 0.3527 0.0000
Zr 0.3527 0.8527 0.0000
Zr 0.6473 0.1473 0.0000
Zr 0.8527 0.6473 0.0000
Cr 0.0000 0.0000 0.0000
Cr 0.5000 0.5000 0.0000
Os 0.1516 0.6516 0.5000
Os 0.3484 0.1516 0.5000
Os 0.6516 0.8484 0.5000
Os 0.8484 0.3484 0.5000

Properties
Total magnetization ... 4.05 μB per formula unit
Space group ... No. 127

***

<2>
## Zr2CrOs2 (PBE)

Data for a relaxed Zr2CrOs2 crystal.

Unit cell a=8.2839 b=8.2839 c=8.2839 alpha=155.79 beta=155.79 gamma=34.50
Atoms (fractional coordinates):
Zr 0.0975 0.0975 0.0000
Zr 0.9025 0.9025 0.0000
Cr 0.5000 0.5000 0.0000
Os 0.2500 0.7500 0.5000
Os 0.7500 0.2500 0.5000

Properties
Total magnetization ... 0.00 μB per formula unit
Space group ... No. 139

***

Most stable structure, least stable structure: <1>, <2>.